#P
First-principles (GGA-PBE) data for YTaIO2 after structural relaxation, as listed in Alexandria.

Summary:
M_tot ... 0.69 Bohr magnetons per cell
Volume ... 20.2 Å³/atom
Space-group type ... P4/mmm (123)

Cell and atoms, written as POSCAR:
```
YTaIO2
1.0
4.063 0.000 0.000
0.000 4.063 0.000
0.000 0.000 6.116
Y Ta I O
1 1 1 2
direct
0.000 0.000 0.000
0.500 0.500 0.500
0.500 0.500 0.000
0.000 0.500 0.500
0.500 0.000 0.500
```

***

#Q
First-principles (GGA-PBE) data for YTaIO2 after structural relaxation, as listed in Alexandria.

Summary:
M_tot ... 2.93 Bohr magnetons per cell
Volume ... 22.9 Å³/atom
Space-group type ... P4/mmm (123)

Cell and atoms, written as POSCAR:
```
YTaIO2
1.0
4.341 0.000 0.000
0.000 4.341 0.000
0.000 0.000 6.078
Y Ta I O
1 1 1 2
direct
0.000 0.000 0.000
0.500 0.500 0.500
0.000 0.000 0.500
0.000 0.500 0.000
0.500 0.000 0.000
```

***

Which of them is the most stable? Correct choice: #P.

***

#P
First-principles (GGA-PBE) data for YTaI2O after structural relaxation, as listed in Alexandria.

Summary:
M_tot ... 0.06 Bohr magnetons per cell
Volume ... 26.3 Å³/atom
Space-group type ... P4/mmm (123)

Cell and atoms, written as POSCAR:
```
YTaI2O
1.0
5.835 0.000 0.000
0.000 5.835 0.000
0.000 0.000 3.858
Y Ta I O
1 1 2 1
direct
0.000 0.000 0.000
0.500 0.500 0.500
0.000 0.500 0.500
0.500 0.000 0.500
0.500 0.500 0.000
```

***

#Q
First-principles (GGA-PBE) data for YTaI2O after structural relaxation, as listed in Alexandria.

Summary:
M_tot ... 3.61 Bohr magnetons per cell
Volume ... 30.6 Å³/atom
Space-group type ... P4/mmm (123)

Cell and atoms, written as POSCAR:
```
YTaI2O
1.0
6.104 0.000 0.000
0.000 6.104 0.000
0.000 0.000 4.110
Y Ta I O
1 1 2 1
direct
0.000 0.000 0.000
0.500 0.500 0.500
0.000 0.500 0.000
0.500 0.000 0.000
0.000 0.000 0.500
```

***

Which of them is the most stable? Correct choice: #P.

***

#P
First-principles (GGA-PBE) data for TaZnIO2 after structural relaxation, as listed in Alexandria.

Summary:
M_tot ... 0.00 Bohr magnetons per cell
Volume ... 19.4 Å³/atom
Space-group type ... P4/mmm (123)

Cell and atoms, written as POSCAR:
```
TaZnIO2
1.0
3.989 0.000 0.000
0.000 3.989 0.000
0.000 0.000 6.083
Ta Zn I O
1 1 1 2
direct
0.000 0.000 0.000
0.500 0.500 0.500
0.000 0.000 0.500
0.000 0.500 0.000
0.500 0.000 0.000
```

***

#Q
First-principles (GGA-PBE) data for TaZnIO2 after structural relaxation, as listed in Alexandria.

Summary:
M_tot ... 1.60 Bohr magnetons per cell
Volume ... 16.8 Å³/atom
Space-group type ... P4/mmm (123)

Cell and atoms, written as POSCAR:
```
TaZnIO2
1.0
4.043 0.000 0.000
0.000 4.043 0.000
0.000 0.000 5.136
Ta Zn I O
1 1 1 2
direct
0.000 0.000 0.000
0.500 0.500 0.500
0.500 0.500 0.000
0.000 0.500 0.500
0.500 0.000 0.500
```

***

Which of them is the most stable? Correct choice: #P.

***

#P
First-principles (GGA-PBE) data for TaZnI2O after structural relaxation, as listed in Alexandria.

Summary:
M_tot ... 0.54 Bohr magnetons per cell
Volume ... 25.9 Å³/atom
Space-group type ... P4/mmm (123)

Cell and atoms, written as POSCAR:
```
TaZnI2O
1.0
5.762 0.000 0.000
0.000 5.762 0.000
0.000 0.000 3.901
Ta Zn I O
1 1 2 1
direct
0.000 0.000 0.000
0.500 0.500 0.500
0.000 0.500 0.000
0.500 0.000 0.000
0.000 0.000 0.500
```

***

#Q
First-principles (GGA-PBE) data for TaZnI2O after structural relaxation, as listed in Alexandria.

Summary:
M_tot ... 2.02 Bohr magnetons per cell
Volume ... 22.8 Å³/atom
Space-group type ... P4/mmm (123)

Cell and atoms, written as POSCAR:
```
TaZnI2O
1.0
5.655 0.000 0.000
0.000 5.655 0.000
0.000 0.000 3.563
Ta Zn I O
1 1 2 1
direct
0.000 0.000 0.000
0.500 0.500 0.500
0.000 0.500 0.500
0.500 0.000 0.500
0.500 0.500 0.000
```

***

Which of them is the most stable? Correct choice: #P.

***

#P
First-principles (GGA-PBE) data for ZrTaI2O after structural relaxation, as listed in Alexandria.

Summary:
M_tot ... 2.79 Bohr magnetons per cell
Volume ... 26.9 Å³/atom
Space-group type ... P4/mmm (123)

Cell and atoms, written as POSCAR:
```
ZrTaI2O
1.0
5.842 0.000 0.000
0.000 5.842 0.000
0.000 0.000 3.942
Zr Ta I O
1 1 2 1
direct
0.000 0.000 0.000
0.500 0.500 0.500
0.000 0.500 0.000
0.500 0.000 0.000
0.000 0.000 0.500
```

***

#Q
First-principles (GGA-PBE) data for ZrTaI2O after structural relaxation, as listed in Alexandria.

Summary:
M_tot ... 1.30 Bohr magnetons per cell
Volume ... 25.4 Å³/atom
Space-group type ... P4/mmm (123)

Cell and atoms, written as POSCAR:
```
ZrTaI2O
1.0
5.755 0.000 0.000
0.000 5.755 0.000
0.000 0.000 3.839
Zr Ta I O
1 1 2 1
direct
0.000 0.000 0.000
0.500 0.500 0.500
0.000 0.500 0.500
0.500 0.000 0.500
0.500 0.500 0.000
```

***

Which of them is the most stable? Correct choice: #Q.

***

#P
First-principles (GGA-PBE) data for Tb2I3O after structural relaxation, as listed in Alexandria.

Summary:
M_tot ... 0.00 Bohr magnetons per cell
Volume ... 38.5 Å³/atom
Space-group type ... C2/m (12)

Cell and atoms, written as POSCAR:
```
Tb2I3O
1.0
10.656 -2.040 0.000
10.656 2.040 0.000
-4.408 0.000 10.618
Tb I O
4 6 2
direct
0.069 0.069 0.471
0.428 0.428 0.260
0.572 0.572 0.740
0.931 0.931 0.529
0.137 0.137 0.958
0.314 0.314 0.366
0.427 0.427 0.741
0.573 0.573 0.259
0.686 0.686 0.634
0.863 0.863 0.042
0.043 0.043 0.643
0.957 0.957 0.357
```

***

#Q
First-principles (GGA-PBE) data for Tb2I3O after structural relaxation, as listed in Alexandria.

Summary:
M_tot ... 0.00 Bohr magnetons per cell
Volume ... 34.7 Å³/atom
Space-group type ... C2/m (12)

Cell and atoms, written as POSCAR:
```
Tb2I3O
1.0
10.293 -2.035 0.000
10.293 2.035 0.000
-7.604 0.000 9.938
Tb I O
4 6 2
direct
0.062 0.062 0.463
0.374 0.374 0.235
0.626 0.626 0.765
0.938 0.938 0.537
0.172 0.172 0.006
0.290 0.290 0.379
0.470 0.470 0.758
0.530 0.530 0.242
0.710 0.710 0.621
0.828 0.828 0.994
0.077 0.077 0.660
0.923 0.923 0.340
```

***

Which of them is the most stable? Correct choice: #P.